Version one
DFT (PBE-GGA) results for crystalline LiSc2Cr2 at its relaxed geometry. Values from VASP.

Quantum ESPRESSO input file:
```
&SYSTEM
  ibrav = 0, nat = 10, ntyp = 3
/
ATOMIC_SPECIES
Sc 44.96 Sc.upf
Li 6.94 Li.upf
Cr 52.00 Cr.upf
CELL_PARAMETERS angstrom
7.5540 0.0000 0.0000
0.0000 7.5540 0.0000
0.0000 0.0000 3.2420
ATOMIC_POSITIONS angstrom
Sc 5.2655 6.0656 1.6210
Sc 2.2886 1.4885 1.6210
Sc 6.0656 2.2886 1.6210
Sc 1.4885 5.2655 1.6210
Li 3.7770 3.7770 0.0000
Li 0.0000 0.0000 0.0000
Cr 3.1112 6.8882 0.0000
Cr 6.8882 4.4429 0.0000
Cr 4.4429 0.6658 0.0000
Cr 0.6658 3.1112 0.0000
```

Magnetic moment   0.00 μB per formula unit

=====

Version two
DFT (PBE-GGA) results for crystalline LiSc2Cr2 at its relaxed geometry. Values from VASP.

Quantum ESPRESSO input file:
```
&SYSTEM
  ibrav = 0, nat = 5, ntyp = 3
/
ATOMIC_SPECIES
Li 6.94 Li.upf
Sc 44.96 Sc.upf
Cr 52.00 Cr.upf
CELL_PARAMETERS angstrom
-3.8103 1.7678 0.4920
-0.9210 -0.8615 -4.0367
-4.5317 -4.6566 -0.1876
ATOMIC_POSITIONS angstrom
Li 0.0000 0.0000 0.0000
Sc -3.9091 -2.5325 -2.9983
Sc -5.3538 -1.2178 -0.7340
Cr -6.5646 -3.4185 -2.2034
Cr -2.6983 -0.3318 -1.5289
```

Magnetic moment   0.00 μB per formula unit

=====

Relative energy table, unit eV/atom: version one 0.000; version two 0.505

=====

Version one
DFT (PBE-GGA) results for crystalline LiCrSe at its relaxed geometry. Values from VASP.

Quantum ESPRESSO input file:
```
&SYSTEM
  ibrav = 0, nat = 3, ntyp = 3
/
ATOMIC_SPECIES
Cr 52.00 Cr.upf
Li 6.94 Li.upf
Se 78.96 Se.upf
CELL_PARAMETERS angstrom
4.3059 0.0000 0.0000
-2.1530 3.7290 0.0000
0.0000 0.0000 3.9648
ATOMIC_POSITIONS angstrom
Cr 0.0000 0.0000 3.3918
Li 2.1530 1.2430 1.4960
Se 0.0000 2.4860 3.0418
```

Magnetic moment   4.85 μB per formula unit

=====

Version two
DFT (PBE-GGA) results for crystalline LiCrSe at its relaxed geometry. Values from VASP.

Quantum ESPRESSO input file:
```
&SYSTEM
  ibrav = 0, nat = 3, ntyp = 3
/
ATOMIC_SPECIES
Cr 52.00 Cr.upf
Se 78.96 Se.upf
Li 6.94 Li.upf
CELL_PARAMETERS angstrom
-0.2201 3.3680 3.3272
-3.5553 0.4385 3.1031
2.9621 -3.2343 -1.7964
ATOMIC_POSITIONS angstrom
Cr -0.0627 0.0632 0.1067
Se -2.4640 2.4843 4.1967
Li -1.2487 1.2590 2.1268
```

Magnetic moment   1.02 μB per formula unit

=====

Relative energy table, unit eV/atom: version one 0.000; version two 0.132

=====

Version one
DFT (PBE-GGA) results for crystalline LiCrSe3 at its relaxed geometry. Values from VASP.

Quantum ESPRESSO input file:
```
&SYSTEM
  ibrav = 0, nat = 5, ntyp = 3
/
ATOMIC_SPECIES
Se 78.96 Se.upf
Li 6.94 Li.upf
Cr 52.00 Cr.upf
CELL_PARAMETERS angstrom
3.6765 0.0000 0.0000
0.0000 3.6237 -5.6899
0.0000 3.6237 5.6899
ATOMIC_POSITIONS angstrom
Se 1.8382 5.4341 0.6375
Se 1.8382 1.8133 0.6375
Se 0.0000 3.6237 3.6144
Li 0.0000 3.6237 -0.0121
Cr 1.8382 3.6237 5.0451
```

Magnetic moment   1.00 μB per formula unit

=====

Version two
DFT (PBE-GGA) results for crystalline LiCrSe3 at its relaxed geometry. Values from VASP.

Quantum ESPRESSO input file:
```
&SYSTEM
  ibrav = 0, nat = 5, ntyp = 3
/
ATOMIC_SPECIES
Se 78.96 Se.upf
Cr 52.00 Cr.upf
Li 6.94 Li.upf
CELL_PARAMETERS angstrom
-1.2404 -3.0985 -1.7890
1.3198 -2.1562 2.8194
-6.7706 0.6109 3.6367
ATOMIC_POSITIONS angstrom
Se -2.9722 -1.3371 0.3688
Se -1.6920 -0.8659 2.6730
Se -5.2682 0.4753 2.8297
Cr -4.6416 -2.2050 3.0296
Li -0.6735 0.0608 0.3617
```

Magnetic moment   3.94 μB per formula unit

=====

Version three
DFT (PBE-GGA) results for crystalline LiCrSe3 at its relaxed geometry. Values from VASP.

Quantum ESPRESSO input file:
```
&SYSTEM
  ibrav = 0, nat = 10, ntyp = 3
/
ATOMIC_SPECIES
Se 78.96 Se.upf
Cr 52.00 Cr.upf
Li 6.94 Li.upf
CELL_PARAMETERS angstrom
6.2387 -0.0235 0.1715
0.4185 5.4718 -0.0594
-2.1170 0.6934 6.5456
ATOMIC_POSITIONS angstrom
Se 1.4430 1.1221 2.0828
Se 4.9169 4.3186 2.0469
Se 1.0350 5.8836 4.8957
Se 3.4860 2.9647 4.0149
Se 4.7748 1.5612 0.3426
Se 1.7196 3.8367 0.3178
Cr 3.1652 2.6360 1.5970
Cr 3.4705 5.5194 0.7683
Li 0.9545 3.1621 4.9425
Li 3.5678 5.6867 3.9693
```

Magnetic moment   0.00 μB per formula unit

=====

Relative energy table, unit eV/atom: version one 0.112; version two 0.265; version three 0.000

=====

Version one
DFT (PBE-GGA) results for crystalline LiCrSe3 at its relaxed geometry. Values from VASP.

Quantum ESPRESSO input file:
```
&SYSTEM
  ibrav = 0, nat = 10, ntyp = 3
/
ATOMIC_SPECIES
Se 78.96 Se.upf
Li 6.94 Li.upf
Cr 52.00 Cr.upf
CELL_PARAMETERS angstrom
6.8186 0.0536 0.0898
0.6662 6.1158 0.0901
2.9782 -2.3741 5.5154
ATOMIC_POSITIONS angstrom
Se 7.2623 2.1267 3.2265
Se 5.7854 -0.8446 3.5754
Se 3.8090 2.1344 5.5441
Se 2.4516 -0.0382 2.1115
Se 5.8444 1.6232 0.5229
Se 4.0699 3.8824 1.3926
Li 3.9504 4.4032 4.0545
Li 4.6108 1.4753 2.8876
Cr 6.9729 0.0111 1.8366
Cr 6.3576 3.7793 1.8204
```

Magnetic moment   0.00 μB per formula unit

=====

Version two
DFT (PBE-GGA) results for crystalline LiCrSe3 at its relaxed geometry. Values from VASP.

Quantum ESPRESSO input file:
```
&SYSTEM
  ibrav = 0, nat = 10, ntyp = 3
/
ATOMIC_SPECIES
Li 6.94 Li.upf
Se 78.96 Se.upf
Cr 52.00 Cr.upf
CELL_PARAMETERS angstrom
4.9442 0.0000 0.0000
0.0000 4.9442 0.0000
2.4721 2.4721 10.5938
ATOMIC_POSITIONS angstrom
Li 0.0000 0.0000 0.0000
Li 2.4721 4.9442 5.2969
Se 2.4721 3.7895 8.3441
Se 1.3175 4.9442 2.2497
Se 4.9441 4.9441 5.7597
Se 3.6267 4.9442 2.2497
Se 2.4721 2.4721 4.8341
Se 2.4721 6.0988 8.3441
Cr 4.9442 2.4721 6.2522
Cr 4.9442 2.4721 4.3416
```

Magnetic moment   0.70 μB per formula unit

=====

Relative energy table, unit eV/atom: version one 0.000; version two 0.507

=====

Version one
DFT (PBE-GGA) results for crystalline LiCrSe3 at its relaxed geometry. Values from VASP.

Quantum ESPRESSO input file:
```
&SYSTEM
  ibrav = 0, nat = 10, ntyp = 3
/
ATOMIC_SPECIES
Cr 52.00 Cr.upf
Se 78.96 Se.upf
Li 6.94 Li.upf
CELL_PARAMETERS angstrom
-5.7941 1.5030 -3.2306
1.1732 -5.1995 -3.0911
-6.2913 0.5218 3.6478
ATOMIC_POSITIONS angstrom
Cr -4.7141 -2.7287 -3.4650
Cr -6.4981 0.5334 -2.3198
Se -10.5373 -2.0973 -2.0996
Se -4.6343 -0.2598 -3.7022
Se -2.8590 -3.1534 -2.3861
Se -6.1665 -1.8094 -1.6762
Se -7.3270 0.6509 -0.1368
Se -2.4917 -0.8775 -0.3723
Li -5.0875 -0.5838 0.6008
Li -8.3083 -3.3459 -1.3552
```

Magnetic moment   0.00 μB per formula unit

=====

Version two
DFT (PBE-GGA) results for crystalline LiCrSe3 at its relaxed geometry. Values from VASP.

Quantum ESPRESSO input file:
```
&SYSTEM
  ibrav = 0, nat = 10, ntyp = 3
/
ATOMIC_SPECIES
Li 6.94 Li.upf
Se 78.96 Se.upf
Cr 52.00 Cr.upf
CELL_PARAMETERS angstrom
3.7094 0.0000 0.0015
0.0000 7.2455 0.0000
-1.8653 0.0000 9.3390
ATOMIC_POSITIONS angstrom
Li 0.9245 5.4342 2.3930
Li 0.9196 1.8114 6.9475
Se -0.9334 3.6194 7.8094
Se 2.7775 7.2421 1.5310
Se 0.9237 5.4342 5.1091
Se 2.7775 3.6262 1.5310
Se -0.9334 0.0034 7.8094
Se 0.9205 1.8114 4.2314
Cr -0.9314 5.4342 6.5358
Cr 2.7755 1.8114 2.8046
```

Magnetic moment   1.00 μB per formula unit

=====

Relative energy table, unit eV/atom: version one 0.000; version two 0.091

=====

Version one
DFT (PBE-GGA) results for crystalline LiCrSe3 at its relaxed geometry. Values from VASP.

Quantum ESPRESSO input file:
```
&SYSTEM
  ibrav = 0, nat = 10, ntyp = 3
/
ATOMIC_SPECIES
Se 78.96 Se.upf
Cr 52.00 Cr.upf
Li 6.94 Li.upf
CELL_PARAMETERS angstrom
6.6492 -0.0022 -0.0714
-2.6775 6.3548 -0.0554
0.2175 2.8135 5.5113
ATOMIC_POSITIONS angstrom
Se 5.2917 5.8345 5.3018
Se 4.4370 4.1738 2.8116
Se 1.4417 1.1472 1.5673
Se -1.8731 8.6548 4.5329
Se 1.0444 4.8047 1.2256
Se 2.1568 6.8713 3.0979
Cr -1.1355 5.1722 1.1226
Cr 4.3367 6.5036 3.2008
Li 5.4306 0.5422 0.5900
Li 0.4485 4.7791 3.7890
```

Magnetic moment   0.00 μB per formula unit

=====

Version two
DFT (PBE-GGA) results for crystalline LiCrSe3 at its relaxed geometry. Values from VASP.

Quantum ESPRESSO input file:
```
&SYSTEM
  ibrav = 0, nat = 10, ntyp = 3
/
ATOMIC_SPECIES
Se 78.96 Se.upf
Cr 52.00 Cr.upf
Li 6.94 Li.upf
CELL_PARAMETERS angstrom
3.1940 0.0000 0.3630
0.0000 6.8998 0.0000
-1.1486 0.0000 10.6274
ATOMIC_POSITIONS angstrom
Se 0.2560 5.1748 5.1230
Se -0.1471 0.0965 8.6737
Se -0.1471 3.3533 8.6737
Se 2.1926 6.8032 2.3167
Se 2.1926 3.5464 2.3167
Se 1.7894 1.7249 5.8674
Cr 1.5381 1.7249 8.0824
Cr 0.5073 5.1748 2.9080
Li 1.6037 5.1748 7.4941
Li 0.4418 1.7249 3.4963
```

Magnetic moment   1.10 μB per formula unit

=====

Relative energy table, unit eV/atom: version one 0.000; version two 0.046

=====

Version one
DFT (PBE-GGA) results for crystalline LiCrSe3 at its relaxed geometry. Values from VASP.

Quantum ESPRESSO input file:
```
&SYSTEM
  ibrav = 0, nat = 10, ntyp = 3
/
ATOMIC_SPECIES
Se 78.96 Se.upf
Cr 52.00 Cr.upf
Li 6.94 Li.upf
CELL_PARAMETERS angstrom
6.7633 0.0191 -0.0067
0.5751 6.1082 -0.0498
3.1496 -2.6969 5.5856
ATOMIC_POSITIONS angstrom
Se 7.3999 1.6477 2.8039
Se 6.0638 1.0696 0.0683
Se 3.9408 1.3561 5.2271
Se 5.8127 -1.3415 3.2278
Se 2.5679 -0.5977 1.8485
Se 4.0863 3.3406 0.9183
Cr 7.0388 -0.5317 1.4957
Cr 6.3492 3.2355 1.3756
Li 9.0453 3.5510 3.3234
Li 1.9452 1.6964 0.3193
```

Magnetic moment   0.00 μB per formula unit

=====

Version two
DFT (PBE-GGA) results for crystalline LiCrSe3 at its relaxed geometry. Values from VASP.

Quantum ESPRESSO input file:
```
&SYSTEM
  ibrav = 0, nat = 10, ntyp = 3
/
ATOMIC_SPECIES
Se 78.96 Se.upf
Li 6.94 Li.upf
Cr 52.00 Cr.upf
CELL_PARAMETERS angstrom
3.4527 -1.9934 0.0000
0.0000 3.9869 0.0000
0.0000 0.0000 15.3556
ATOMIC_POSITIONS angstrom
Se 2.3018 0.0000 1.4611
Se 0.0000 0.0000 3.8389
Se 2.3018 0.0000 6.2167
Se 1.1509 1.9934 9.1389
Se 1.1509 1.9934 13.8945
Se 0.0000 0.0000 11.5167
Li 0.0000 0.0000 7.6778
Li 0.0000 0.0000 0.0000
Cr 1.1509 1.9934 11.5167
Cr 2.3018 0.0000 3.8389
```

Magnetic moment   0.00 μB per formula unit

=====

Relative energy table, unit eV/atom: version one 0.000; version two 0.226

=====

Version one
DFT (PBE-GGA) results for crystalline LiCrSe3 at its relaxed geometry. Values from VASP.

Quantum ESPRESSO input file:
```
&SYSTEM
  ibrav = 0, nat = 10, ntyp = 3
/
ATOMIC_SPECIES
Cr 52.00 Cr.upf
Li 6.94 Li.upf
Se 78.96 Se.upf
CELL_PARAMETERS angstrom
3.6656 0.0000 5.7791
-1.8328 3.1745 5.7791
-1.8328 -3.1745 5.7791
ATOMIC_POSITIONS angstrom
Cr 0.0000 0.0000 11.6039
Cr 0.0000 0.0000 5.7335
Li 0.0000 0.0000 2.6990
Li 0.0000 0.0000 14.6384
Se 1.7127 1.0910 7.1357
Se -0.0884 2.0288 10.2017
Se 0.0884 -2.0288 7.1357
Se -1.7127 -1.0910 10.2017
Se -1.8012 0.9378 7.1357
Se 1.8012 -0.9378 10.2017
```

Magnetic moment   1.32 μB per formula unit

=====

Version two
DFT (PBE-GGA) results for crystalline LiCrSe3 at its relaxed geometry. Values from VASP.

Quantum ESPRESSO input file:
```
&SYSTEM
  ibrav = 0, nat = 5, ntyp = 3
/
ATOMIC_SPECIES
Se 78.96 Se.upf
Cr 52.00 Cr.upf
Li 6.94 Li.upf
CELL_PARAMETERS angstrom
-1.6287 2.0046 -1.6934
3.5868 -2.3505 -6.2324
-6.4268 -3.1342 2.4710
ATOMIC_POSITIONS angstrom
Se -4.1173 -2.9534 0.4636
Se -2.0214 -0.5355 -1.5063
Se -3.3035 -3.0116 -3.2043
Cr -2.3960 -2.8187 -1.0324
Li -6.4362 -2.0689 0.9247
```

Magnetic moment   0.47 μB per formula unit

=====

Relative energy table, unit eV/atom: version one 0.000; version two 0.109